1.
# PrY3Ir

PrY3Ir after structural relaxation (PBE-GGA, Alexandria).

```
5
Lattice="5.470 0.000 0.000 0.000 5.470 0.000 0.000 0.000 5.470" Properties=species:S:1:pos:R:3 pbc="T T T"
Pr 0.000 0.000 0.000
Y 0.000 2.735 2.735
Y 2.735 0.000 2.735
Y 2.735 2.735 0.000
Ir 2.735 2.735 2.735
```

Summary:
The space group is Pm-3m. The calculation puts the total energy at -0.5075 Ry per atom. For the energy of formation, the calculation gives -298.6 meV per atom.

2.
# BaIn2Se2S

BaIn2Se2S after structural relaxation (PBE-GGA, Alexandria).

```
12
Lattice="6.985 0.000 0.000 0.000 6.973 0.000 -2.618 0.000 8.327" Properties=species:S:1:pos:R:3 pbc="T T T"
Ba 1.071 1.743 1.762
Ba 3.296 5.229 6.565
In -0.541 0.184 5.334
In -0.541 3.302 5.334
In 4.909 3.670 2.993
In 4.909 6.789 2.993
Se -0.440 5.229 1.441
Se 0.005 5.229 7.031
Se 4.362 1.743 1.296
Se 4.807 1.743 6.886
S 1.419 1.743 4.972
S 2.948 5.229 3.355
```

Summary:
The calculation puts the formation energy (no corrections) at -0.92 eV per atom. The space group is P2_1/m. The calculation puts the total energy at -0.2939 Ry per atom.

3.
# CaCeCd6

CaCeCd6 after structural relaxation (PBE-GGA, Alexandria).

```
16
Lattice="5.011 0.000 0.000 0.000 7.085 0.000 0.000 0.000 11.323" Properties=species:S:1:pos:R:3 pbc="T T T"
Ca 0.000 0.000 0.000
Ca 0.000 3.543 5.662
Ce 2.506 0.000 8.018
Ce 2.506 3.543 2.356
Cd 0.000 0.000 5.948
Cd 0.000 1.569 2.997
Cd 0.000 1.974 8.658
Cd 0.000 3.543 0.286
Cd 0.000 5.111 8.658
Cd 0.000 5.517 2.997
Cd 2.506 0.000 2.116
Cd 2.506 1.533 5.005
Cd 2.506 2.010 10.667
Cd 2.506 3.543 7.778
Cd 2.506 5.076 10.667
Cd 2.506 5.552 5.005
```

Summary:
The space group is Amm2. The calculation puts the total energy at -0.1400 Ry per atom. For the energy of formation, the calculation gives -226.3 meV per atom.

4.
# PmHfCuIr

PmHfCuIr after structural relaxation (PBE-GGA, Alexandria).

```
16
Lattice="6.805 0.000 0.000 0.000 6.805 0.000 0.000 0.000 6.805" Properties=species:S:1:pos:R:3 pbc="T T T"
Pm 0.000 0.000 0.000
Pm 0.000 3.403 3.403
Pm 3.403 0.000 3.403
Pm 3.403 3.403 0.000
Hf 0.000 0.000 3.403
Hf 0.000 3.403 0.000
Hf 3.403 0.000 0.000
Hf 3.403 3.403 3.403
Cu 1.701 1.701 1.701
Cu 1.701 5.104 5.104
Cu 5.104 1.701 5.104
Cu 5.104 5.104 1.701
Ir 1.701 1.701 5.104
Ir 1.701 5.104 1.701
Ir 5.104 1.701 1.701
Ir 5.104 5.104 5.104
```

Summary:
The space group is F-43m. The calculation puts the total energy at -0.5364 Ry per atom. For the energy of formation, the calculation gives -383.1 meV per atom.

5.
# NaSrSe2N

NaSrSe2N after structural relaxation (PBE-GGA, Alexandria).

```
5
Lattice="5.321 0.000 0.000 0.000 5.321 0.000 0.000 0.000 4.539" Properties=species:S:1:pos:R:3 pbc="T T T"
Na 0.000 0.000 0.000
Sr 2.660 2.660 2.270
Se 0.000 2.660 0.000
Se 2.660 0.000 0.000
N 0.000 0.000 2.270
```

Summary:
The calculation puts the formation energy (no corrections) at 0.14 eV per atom. The space group is P4/mmm. The calculation puts the total energy at -0.2583 Ry per atom.

6.
# YTiCoRu

YTiCoRu after structural relaxation (PBE-GGA, Alexandria).

```
16
Lattice="6.425 0.000 0.000 0.000 6.425 0.000 0.000 0.000 6.425" Properties=species:S:1:pos:R:3 pbc="T T T"
Y 0.000 0.000 0.000
Y 0.000 3.212 3.212
Y 3.212 0.000 3.212
Y 3.212 3.212 0.000
Ti 0.000 0.000 3.212
Ti 0.000 3.212 0.000
Ti 3.212 0.000 0.000
Ti 3.212 3.212 3.212
Co 1.606 1.606 1.606
Co 1.606 4.819 4.819
Co 4.819 1.606 4.819
Co 4.819 4.819 1.606
Ru 1.606 1.606 4.819
Ru 1.606 4.819 1.606
Ru 4.819 1.606 1.606
Ru 4.819 4.819 4.819
```

Summary:
The space group is F-43m. The calculation puts the total energy at -0.5838 Ry per atom. For the energy of formation, the calculation gives -257.3 meV per atom.

7.
# AgW2Au

AgW2Au after structural relaxation (PBE-GGA, Alexandria).

```
12
Lattice="2.821 0.000 0.000 -1.411 2.443 0.000 0.000 0.000 29.157" Properties=species:S:1:pos:R:3 pbc="T T T"
Ag 0.000 0.000 0.000
Ag 0.000 1.629 19.438
Ag 1.411 0.814 9.719
W 0.000 0.000 7.263
W 0.000 0.000 21.893
W 0.000 1.629 12.174
W 0.000 1.629 26.701
W 1.411 0.814 2.456
W 1.411 0.814 16.982
Au 0.000 0.000 14.578
Au 0.000 1.629 4.859
Au 1.411 0.814 24.297
```

Summary:
The space group is R-3m. The calculation puts the total energy at -0.5482 Ry per atom. For the energy of formation, the calculation gives 549.5 meV per atom.

8.
# HoMg2Al

HoMg2Al after structural relaxation (PBE-GGA, Alexandria).

```
16
Lattice="7.072 0.000 0.000 0.000 7.072 0.000 0.000 0.000 7.072" Properties=species:S:1:pos:R:3 pbc="T T T"
Ho 0.000 0.000 0.000
Ho 0.000 3.536 3.536
Ho 3.536 0.000 3.536
Ho 3.536 3.536 0.000
Mg 1.768 1.768 1.768
Mg 1.768 1.768 5.304
Mg 1.768 5.304 1.768
Mg 1.768 5.304 5.304
Mg 5.304 1.768 1.768
Mg 5.304 1.768 5.304
Mg 5.304 5.304 1.768
Mg 5.304 5.304 5.304
Al 0.000 0.000 3.536
Al 0.000 3.536 0.000
Al 3.536 0.000 0.000
Al 3.536 3.536 3.536
```

Summary:
The space group is Fm-3m. The calculation puts the total energy at -0.2147 Ry per atom. For the energy of formation, the calculation gives -43.4 meV per atom.

no.,Fermi-level density of states (states/eV/cell)
1,6.99
2,0.00
3,20.84
4,12.44
5,3.95
6,7.25
7,6.91
8,4.54